No. 1
Here is a geometry-optimized Nb6Zn2C structure from Alexandria via LeMat-Bulk. Energies are from GGA-PBE.

a = 5.4806 Å, b = 6.5868 Å, c = 8.2166 Å
α = 90.00°, β = 91.26°, γ = 90.00°
Last column: nearest neighbours and their distance in Å.
Element x y z (fractional)
Zn 0.4320 0.1077 0.2415  8 Nb 2.62-2.76
Nb 0.5971 0.4922 0.2695  1 C 2.27
Nb 0.0971 0.0078 0.7695  1 C 2.27
Nb 0.6547 0.2031 0.9536  1 C 2.17
Zn 0.0680 0.6077 0.2585  8 Nb 2.62-2.76
Nb 0.9029 0.9922 0.2305  1 C 2.27
C 0.0000 0.0000 0.5000  6 Nb 2.17-2.27
Nb 0.3453 0.7969 0.0464  1 C 2.17
Zn 0.9320 0.3923 0.7415  8 Nb 2.62-2.76
C 0.5000 0.5000 0.0000  6 Nb 2.17-2.27
Nb 0.1576 0.3295 0.0392  1 C 2.22
Nb 0.6576 0.1705 0.5392  1 C 2.22
Nb 0.4029 0.5078 0.7305  1 C 2.27
Nb 0.1547 0.2969 0.4536  1 C 2.17
Zn 0.5680 0.8923 0.7585  8 Nb 2.62-2.76
Nb 0.8453 0.7031 0.5464  1 C 2.17
Nb 0.3424 0.8295 0.4608  1 C 2.22
Nb 0.8424 0.6705 0.9608  1 C 2.22

## Properties
DFT formation energy ... -0.025 eV per atom
N(E_F) ... 0.6101 states/eV per atom

=====

No. 2
Here is a geometry-optimized ZrOsBr2 structure from Alexandria via LeMat-Bulk. Energies are from GGA-PBE.

a = 4.1262 Å, b = 4.1262 Å, c = 8.4435 Å
α = 75.98°, β = 75.98°, γ = 59.88°
Last column: nearest neighbours and their distance in Å.
Element x y z (fractional)
Os 0.2773 0.2773 0.6687  1 Br 2.35, 3 Zr 2.62
Br 0.1812 0.1812 0.9583  1 Os 2.35
Zr 0.6548 0.6548 0.5346  3 Os 2.62, 3 Br 2.86
Br 0.3867 0.3867 0.3384  1 Os 2.68, 3 Zr 2.86

## Properties
Energy relative to the lowest polymorph listed for this composition ... 47.2 meV per atom

=====

No. 3
Here is a geometry-optimized Na5Hg2S5 structure from Alexandria via LeMat-Bulk. Energies are from GGA-PBE.

a = 3.7998 Å, b = 7.0474 Å, c = 11.3530 Å
α = 106.26°, β = 90.00°, γ = 105.64°
Last column: nearest neighbours and their distance in Å.
Element x y z (fractional)
Hg 0.9594 0.9189 0.2190  4 S 2.47-2.70
Na 0.2501 0.5002 0.6433  5 S 2.82-2.99
S 0.8880 0.7759 0.5974  1 Hg 2.47
S 0.1120 0.2241 0.4026  1 Hg 2.47
Na 0.3427 0.6853 0.9511  5 S 2.79-3.02
Na 0.5000 0.0000 0.5000  4 S 2.85
Na 0.7499 0.4998 0.3567  5 S 2.82-2.99
S 0.6800 0.3601 0.8053  2 Hg 2.64, 1 Na 2.87
S 0.3200 0.6399 0.1947  2 Hg 2.64, 1 Na 2.87
Hg 0.0406 0.0811 0.7810  4 S 2.47-2.70
Na 0.6573 0.3147 0.0489  5 S 2.79-3.02
S 0.0000 0.0000 0.0000  2 Hg 2.70, 4 Na 2.79

## Properties
E_tot ... -2.9908 eV/atom
N(E_F) ... 0.5184 states/eV per atom